(1)
Computed, not measured: a relaxed Ac6CoIr2Au crystal at the PBE level of DFT.

Computed properties:
- calculated total energy (eV/atom) = -5.74
- Fermi-level density of states (states/eV/cell) = 6.49
- symmetry = P1
- ΔE_f (eV/f.u.) = -4.631

The structure in extended XYZ format:
```
10
Lattice="7.5528 0.0000 0.0000 -3.7688 6.5482 0.0000 -3.7749 -2.1788 6.9709" Properties=species:S:1:pos:R:3 pbc="T T T"
Ac 0.0000 0.0000 0.0000
Ac -4.8314 4.2142 3.3549
Ac -1.0555 2.0168 3.3589
Ac 0.4456 4.3123 0.0035
Ac 3.9488 1.7698 0.0008
Ac 2.7328 -0.1552 3.3563
Co 5.2409 -0.1552 1.8145
Ir -2.3069 4.2115 4.9990
Ir 1.4634 2.0262 1.6635
Au 1.4700 2.0264 5.3743
```



(2)
Computed, not measured: a relaxed AcLaCoAu crystal at the PBE level of DFT.

Computed properties:
- calculated total energy (eV/atom) = -5.12
- Fermi-level density of states (states/eV/cell) = 4.41
- symmetry = F-43m
- ΔE_f (eV/f.u.) = -1.056

The structure in extended XYZ format:
```
4
Lattice="0.0000 3.7255 3.7255 3.7255 0.0000 3.7255 3.7255 3.7255 0.0000" Properties=species:S:1:pos:R:3 pbc="T T T"
Ac 0.0000 0.0000 0.0000
La 3.7255 3.7255 3.7255
Co 1.8628 1.8628 1.8628
Au 5.5883 5.5883 5.5883
```